# 1
VASP calculation (GGA-PBE) on an optimized crystal structure of Pr6ZnGa.

As for the crystal system: monoclinic. The volume comes out at 31.00 A^3/atom. The calculation puts the formation energy at -202 meV per atom. As for the density of states at the Fermi level: 9.23 states/eV/f.u. As for the raw total energy: -4.324 eV per atom. For the total magnetic moment, the calculation gives 0.00 μB/cell.

The space group is C2/m (No. 12) and the conventional cell measures 18.606, 5.271 and 5.271 Å, with angles of 90.00, 106.40 and 90.00 degrees. The asymmetric unit holds Pr at (0.103, 0.000, 0.102), Pr at (0.103, 0.500, 0.603), Pr at (0.249, 0.500, 0.248), Zn at (0.000, 0.000, 0.500) and Ga at (0.000, 0.500, 0.000).



# 2
VASP calculation (GGA-PBE) on an optimized crystal structure of Na2HgSeI.

As for the crystal system: tetragonal. The volume comes out at 34.46 A^3/atom. As for the energy relative to the elements, uncorrected: -3.98 eV per formula unit. As for the density of states at the Fermi level: 0.60 states/eV/f.u. As for the raw total energy: -2.391 eV per atom. For the total magnetic moment, the calculation gives 0.00 μB/cell.

The space group is P4/mmm (No. 123) and the conventional cell measures 5.660, 5.660 and 5.380 Å, with angles of 90.00, 90.00 and 90.00 degrees. The asymmetric unit holds Na at (0.000, 0.500, 0.000), Hg at (0.000, 0.000, 0.500), Se at (0.000, 0.000, 0.000) and I at (0.500, 0.500, 0.500).



# 3
VASP calculation (GGA-PBE) on an optimized crystal structure of CeTmTh2Sb5.

As for the crystal system: tetragonal. The volume comes out at 35.32 A^3/atom. As for the energy relative to the elements, uncorrected: -2.12 eV per formula unit. As for the density of states at the Fermi level: 8.29 states/eV/f.u. As for the raw total energy: -5.330 eV per atom. For the total magnetic moment, the calculation gives 0.57 μB/cell.

The space group is P4/mmm (No. 123) and the conventional cell measures 5.239, 5.239 and 11.582 Å, with angles of 90.00, 90.00 and 90.00 degrees. The asymmetric unit holds Ce at (0.000, 0.000, 0.000), Tm at (0.000, 0.000, 0.500), Th at (0.500, 0.500, 0.308), Sb at (0.000, 0.000, 0.251), Sb at (0.000, 0.500, 0.500) and Sb at (0.500, 0.500, 0.000).



# 4
VASP calculation (GGA-PBE) on an optimized crystal structure of Na3LiBe2F8.

As for the crystal system: trigonal. The volume comes out at 11.17 A^3/atom. As for the energy relative to the elements, uncorrected: -42.33 eV per formula unit. As for the density of states at the Fermi level: 0.00 states/eV/f.u. As for the raw total energy: -5.044 eV per atom. For the total magnetic moment, the calculation gives 0.09 μB/cell.

The space group is P-3m1 (No. 164) and the conventional cell measures 5.2855, 5.2855 and 6.4612 Å, with angles of 90.00, 90.00 and 120.00 degrees. The asymmetric unit holds Na at (0.0000, 0.0000, 0.0000), Na at (0.3333, 0.6667, 0.6466), Li at (0.0000, 0.0000, 0.5000), Be at (0.3333, 0.6667, 0.2149), F at (0.1751, 0.3501, 0.3106) and F at (0.3333, 0.6667, 0.9808).



# 5
VASP calculation (GGA-PBE) on an optimized crystal structure of LaOsCl.

As for the crystal system: cubic. The volume comes out at 28.98 A^3/atom. The offset from the most stable computed form is 1.5204 eV per atom. As for the energy relative to the elements, uncorrected: 1.06 eV per formula unit. As for the density of states at the Fermi level: 3.88 states/eV/f.u. As for the raw total energy: -5.647 eV per atom. For the total magnetic moment, the calculation gives 8.00 μB/cell.

The space group is F-43m (No. 216) and the conventional cell measures 7.032, 7.032 and 7.032 Å, with angles of 90.00, 90.00 and 90.00 degrees. The asymmetric unit holds La at (0.000, 0.000, 0.000), Os at (0.250, 0.250, 0.250) and Cl at (0.250, 0.250, 0.750).



# 6
VASP calculation (GGA-PBE) on an optimized crystal structure of TbEr2Mg.

As for the crystal system: monoclinic. The volume comes out at 29.57 A^3/atom. The offset from the most stable computed form is 0.0732 eV per atom. The calculation puts the formation energy at 45 meV per atom. As for the density of states at the Fermi level: 6.00 states/eV/f.u. As for the raw total energy: -3.792 eV per atom. For the total magnetic moment, the calculation gives 0.00 μB/cell.

The space group is Cm (No. 8) and the conventional cell measures 6.023, 3.466 and 11.512 Å, with angles of 90.00, 100.11 and 90.00 degrees. The asymmetric unit holds Tb at (0.000, 0.000, 0.000), Er at (0.082, 0.500, 0.748), Er at (0.418, 0.000, 0.254) and Mg at (0.168, 0.000, 0.500).



# 7
VASP calculation (GGA-PBE) on an optimized crystal structure of La2Ho3Hg4.

As for the crystal system: orthorhombic. The volume comes out at 29.05 A^3/atom. The calculation puts the formation energy at -368 meV per atom. As for the density of states at the Fermi level: 9.10 states/eV/f.u. As for the raw total energy: -3.123 eV per atom. For the total magnetic moment, the calculation gives 0.00 μB/cell.

The space group is Cmce (No. 64) and the conventional cell measures 7.075, 17.808 and 8.302 Å, with angles of 90.00, 90.00 and 90.00 degrees. The asymmetric unit holds La at (0.000, 0.095, 0.090), Ho at (0.000, 0.000, 0.500), Ho at (0.250, 0.238, 0.750), Hg at (0.000, 0.170, 0.473) and Hg at (0.250, 0.065, 0.750).



# 8
VASP calculation (GGA-PBE) on an optimized crystal structure of Cu2Ag2Bi.

As for the crystal system: tetragonal. The volume comes out at 18.90 A^3/atom. The offset from the most stable computed form is 0.0664 eV per atom. The calculation puts the formation energy at 228 meV per atom. As for the density of states at the Fermi level: 1.95 states/eV/f.u. As for the raw total energy: -3.328 eV per atom. For the total magnetic moment, the calculation gives 0.00 μB/cell.

The space group is I4/mmm (No. 139) and the conventional cell measures 3.983, 3.983 and 11.912 Å, with angles of 90.00, 90.00 and 90.00 degrees. The asymmetric unit holds Cu at (0.000, 0.000, 0.100), Ag at (0.000, 0.500, 0.250) and Bi at (0.000, 0.000, 0.500).



# 9
VASP calculation (GGA-PBE) on an optimized crystal structure of Zn2Pd5Pt12.

As for the crystal system: monoclinic. The volume comes out at 17.74 A^3/atom. The calculation puts the formation energy at 85 meV per atom. As for the density of states at the Fermi level: 21.56 states/eV/f.u. As for the raw total energy: -5.231 eV per atom. For the total magnetic moment, the calculation gives 0.00 μB/cell.

The space group is C2/m (No. 12) and the conventional cell measures 14.586, 5.395 and 9.585 Å, with angles of 90.00, 116.67 and 90.00 degrees. The asymmetric unit holds Zn at (0.000, 0.248, 0.000), Pd at (0.000, 0.500, 0.500), Pd at (0.169, 0.000, 0.510), Pd at (0.187, 0.000, 0.018), Pt at (0.002, 0.000, 0.238), Pt at (0.005, 0.500, 0.230), Pt at (0.149, 0.252, 0.744) and Pt at (0.173, 0.250, 0.264).



# 10
VASP calculation (GGA-PBE) on an optimized crystal structure of Ca4AlTl.

As for the crystal system: monoclinic. The volume comes out at 32.46 A^3/atom. The offset from the most stable computed form is 0.0000 eV per atom. The calculation puts the formation energy at -233 meV per atom. As for the density of states at the Fermi level: 4.42 states/eV/f.u. As for the raw total energy: -2.585 eV per atom. For the total magnetic moment, the calculation gives 0.00 μB/cell.

The space group is C2/c (No. 15) and the conventional cell measures 9.543, 14.585 and 5.963 Å, with angles of 90.00, 110.19 and 90.00 degrees. The asymmetric unit holds Ca at (0.120, 0.179, 0.069), Ca at (0.197, 0.427, 0.339), Al at (0.000, 0.002, 0.250) and Tl at (0.000, 0.368, 0.750).



# 11
VASP calculation (GGA-PBE) on an optimized crystal structure of HfTl2Ni.

As for the crystal system: tetragonal. The volume comes out at 21.50 A^3/atom. The calculation puts the formation energy at 353 meV per atom. As for the density of states at the Fermi level: 2.50 states/eV/f.u. As for the raw total energy: -4.764 eV per atom. For the total magnetic moment, the calculation gives 0.00 μB/cell.

The space group is I-42d (No. 122) and the conventional cell measures 7.647, 7.647 and 5.882 Å, with angles of 90.00, 90.00 and 90.00 degrees. The asymmetric unit holds Hf at (0.000, 0.000, 0.000), Tl at (0.209, 0.250, 0.625) and Ni at (0.000, 0.000, 0.500).



# 12
VASP calculation (GGA-PBE) on an optimized crystal structure of AcLa4Pm2Tm.

As for the crystal system: monoclinic. The volume comes out at 36.38 A^3/atom. The calculation puts the formation energy at 29 meV per atom. As for the density of states at the Fermi level: 14.23 states/eV/f.u. As for the raw total energy: -4.695 eV per atom. For the total magnetic moment, the calculation gives 0.00 μB/cell.

The space group is C2/m (No. 12) and the conventional cell measures 11.713, 5.261 and 10.582 Å, with angles of 90.00, 116.78 and 90.00 degrees. The asymmetric unit holds Ac at (0.000, 0.000, 0.000), La at (0.246, 0.000, 0.868), La at (0.248, 0.500, 0.622), Pm at (0.001, 0.500, 0.744) and Tm at (0.000, 0.000, 0.500).



Please write out number 6 again, unchanged.
VASP calculation (GGA-PBE) on an optimized crystal structure of TbEr2Mg.

As for the crystal system: monoclinic. The volume comes out at 29.57 A^3/atom. The offset from the most stable computed form is 0.0732 eV per atom. The calculation puts the formation energy at 45 meV per atom. As for the density of states at the Fermi level: 6.00 states/eV/f.u. As for the raw total energy: -3.792 eV per atom. For the total magnetic moment, the calculation gives 0.00 μB/cell.

The space group is Cm (No. 8) and the conventional cell measures 6.023, 3.466 and 11.512 Å, with angles of 90.00, 100.11 and 90.00 degrees. The asymmetric unit holds Tb at (0.000, 0.000, 0.000), Er at (0.082, 0.500, 0.748), Er at (0.418, 0.000, 0.254) and Mg at (0.168, 0.000, 0.500).